Ba2Zn2In after structural relaxation. Source: Alexandria, functional PBE.

Computed properties:
**Total DFT energy (no corrections)**: -1.949 eV/atom
**Calculated formation energy**: -11.8 kJ per mole of atoms
**Crystal system**: tetragonal

a = 3.965 Å, b = 3.965 Å, c = 21.289 Å
α = 90.00°, β = 90.00°, γ = 90.00°
Space group I4/mmm (No. 139)
Asymmetric unit:
Ba 0.000 0.000 0.111 [4 per cell]
Zn 0.000 0.500 0.250 [4 per cell]
In 0.000 0.000 0.500 [2 per cell]

BaZn2In after structural relaxation. Source: Alexandria, functional PBE.

Computed properties:
**Total DFT energy (no corrections)**: -1.874 eV/atom
**Calculated formation energy**: -6.9 kJ per mole of atoms
**Crystal system**: monoclinic

a = 3.784 Å, b = 4.166 Å, c = 7.156 Å
α = 90.00°, β = 99.51°, γ = 90.00°
Space group P2/m (No. 10)
Asymmetric unit:
Ba 0.000 0.000 0.000 [1 per cell]
Zn 0.435 0.500 0.692 [2 per cell]
In 0.000 0.000 0.500 [1 per cell]

Ba2Zn3In after structural relaxation. Source: Alexandria, functional PBE.

Computed properties:
**Total DFT energy (no corrections)**: -1.979 eV/atom
**Excess energy over the best structure of this formula in the dataset**: 0 meV per atom
**Calculated formation energy**: -23.6 kJ per mole of atoms
**Crystal system**: monoclinic

a = 11.578 Å, b = 5.059 Å, c = 8.196 Å
α = 90.00°, β = 134.09°, γ = 90.00°
Space group Cm (No. 8)
Asymmetric unit:
Ba 0.000 0.000 0.000 [2 per cell]
Ba 0.006 0.500 0.612 [2 per cell]
Zn 0.178 0.500 0.401 [2 per cell]
Zn 0.180 0.000 0.569 [2 per cell]
Zn 0.318 0.000 0.028 [2 per cell]
In 0.322 0.500 0.214 [2 per cell]

Ba2ZnIn after structural relaxation. Source: Alexandria, functional PBE.

Computed properties:
**Total DFT energy (no corrections)**: -2.239 eV/atom
**Calculated formation energy**: -26.5 kJ per mole of atoms
**Crystal system**: orthorhombic

a = 4.206 Å, b = 5.959 Å, c = 5.958 Å
α = 90.00°, β = 90.00°, γ = 90.00°
Space group Pmm2 (No. 25)
Asymmetric unit:
Ba 0.000 0.000 0.000 [1 per cell]
Ba 0.000 0.500 0.499 [1 per cell]
Zn 0.500 0.500 0.999 [1 per cell]
In 0.500 0.000 0.500 [1 per cell]

BaZn2In after structural relaxation. Source: Alexandria, functional PBE.

Computed properties:
**Total DFT energy (no corrections)**: -1.849 eV/atom
**Calculated formation energy**: -4.5 kJ per mole of atoms
**Crystal system**: tetragonal

a = 5.349 Å, b = 5.349 Å, c = 7.528 Å
α = 90.00°, β = 90.00°, γ = 90.00°
Space group I-4m2 (No. 119)
Asymmetric unit:
Ba 0.000 0.000 0.000 [2 per cell]
Zn 0.000 0.000 0.500 [2 per cell]
Zn 0.000 0.500 0.250 [2 per cell]
In 0.000 0.500 0.750 [2 per cell]

Ba2ZnIn2 after structural relaxation. Source: Alexandria, functional PBE.

Computed properties:
**Total DFT energy (no corrections)**: -2.177 eV/atom
**Excess energy over the best structure of this formula in the dataset**: 284 meV per atom
**Calculated formation energy**: -5.6 kJ per mole of atoms
**Crystal system**: tetragonal

a = 6.898 Å, b = 6.898 Å, c = 8.442 Å
α = 90.00°, β = 90.00°, γ = 90.00°
Space group I4/mmm (No. 139)
Asymmetric unit:
Ba 0.000 0.500 0.250 [4 per cell]
Zn 0.000 0.000 0.000 [2 per cell]
In 0.000 0.000 0.335 [4 per cell]

Ba4Zn2In after structural relaxation. Source: Alexandria, functional PBE.

Computed properties:
**Total DFT energy (no corrections)**: -2.034 eV/atom
**Calculated formation energy**: -17.4 kJ per mole of atoms
**Crystal system**: trigonal

a = 5.9028 Å, b = 5.9028 Å, c = 28.7536 Å
α = 90.00°, β = 90.00°, γ = 120.00°
Space group R-3m (No. 166, hexagonal axes)
Asymmetric unit:
Ba 0.0000 0.0000 0.1235 [6 per cell]
Ba 0.0000 0.0000 0.3755 [6 per cell]
Zn 0.0000 0.0000 0.2480 [6 per cell]
In 0.0000 0.0000 0.5000 [3 per cell]

Ba8Zn2In3 after structural relaxation. Source: Alexandria, functional PBE.

Computed properties:
**Total DFT energy (no corrections)**: -2.188 eV/atom
**Calculated formation energy**: -17.1 kJ per mole of atoms
**Crystal system**: orthorhombic

a = 9.879 Å, b = 18.308 Å, c = 6.244 Å
α = 90.00°, β = 90.00°, γ = 90.00°
Space group Cmmm (No. 65)
Asymmetric unit:
Ba 0.000 0.103 0.000 [4 per cell]
Ba 0.000 0.314 0.000 [4 per cell]
Ba 0.219 0.384 0.500 [8 per cell]
Zn 0.000 0.227 0.500 [4 per cell]
In 0.000 0.000 0.500 [2 per cell]
In 0.155 0.500 0.000 [4 per cell]

Number 1: total magnetization 0.00 μB per cell. Number 2: total magnetization 0.00 μB per cell. Number 3: total magnetization 0.00 μB per cell. Number 4: total magnetization 0.00 μB per cell. Number 5: total magnetization 0.00 μB per cell. Number 6: total magnetization 0.00 μB per cell. Number 7: total magnetization 0.00 μB per cell. Number 8: total magnetization 0.00 μB per cell.